Material: AlPtCl
Method: DFT, PBE-GGA
State: optimized geometry

Cell and atoms, written as POSCAR:
```
AlPtCl
1.0
4.361 0.000 0.000
2.181 3.777 0.000
2.181 1.259 3.561
Pt Al Cl
1 1 1
direct
0.250 0.250 0.250
0.000 0.000 0.000
0.500 0.500 0.500
```

Computed properties:
Volume = 58.7 Å³ per cell
E_tot = -0.1481 hartree per atom
Mass density = 7.29 g/cm³
Distance to the lowest polymorph of the same formula = 515 meV/atom
Fermi-level density of states = 0.44 states/eV per cell

=====

Material: ThAl6Cu
Method: DFT, PBE-GGA
State: optimized geometry

Cell and atoms, written as POSCAR:
```
ThAl6Cu
1.0
-1.222 3.972 1.202
-2.455 0.318 -3.548
-6.269 -3.155 4.056
Al Th Cu
6 1 1
direct
0.500 0.000 0.666
0.500 0.000 0.334
0.000 0.500 0.334
0.000 0.500 0.666
0.500 0.500 0.848
0.500 0.500 0.152
0.000 0.000 0.000
0.000 0.000 0.500
```

Computed properties:
Energy relative to the elements = -1.76 eV/f.u.
Volume = 151.7 Å³ per cell
E_tot = -0.1642 hartree per atom
Mass density = 5.01 g/cm³
Fermi-level density of states = 4.51 states/eV per cell